Below is an optimized crystal structure of CaNd2Cd, with properties calculated at the GGA-PBE level.

Summary:
- Formation energy from the elements: -0.067 eV per atom
- ΔE to the lowest computed polymorph: 33 meV per atom

Cell lengths 5.079, 5.079, 4.910 Å; angles 90.00, 90.00, 90.00 degrees
Space group P4/mmm (No. 123)
Unique sites:
Ca (0.000, 0.000, 0.000)
Nd (0.000, 0.500, 0.500)
Cd (0.500, 0.500, 0.000)